14
Lattice="-0.359 6.658 -2.100 0.097 -2.364 -7.513 -5.479 -0.260 0.114" Properties=species:S:1:pos:R:3 comment="ZnIn2Au4, relaxed, DFT PBE-GGA" spacegroup=P2_1/m energy_ev_per_cell=-40.87 delta_e_f_ev_per_fu=-0.57 polymorph_energy_ev_per_fu=0.18 pbc="T T T"
In -2.806 4.174 -3.737
In -0.303 0.636 -3.749
In -2.936 -0.141 -5.761
In -5.438 3.398 -5.749
Au -1.541 0.057 -0.715
Au -0.276 -0.203 -6.416
Au -2.700 3.348 -6.377
Au -4.201 3.977 -8.784
Au -5.465 4.237 -3.083
Au -4.057 1.311 -7.943
Au -1.684 2.723 -1.555
Au -3.041 0.686 -3.122
Zn -1.078 2.819 -8.332
Zn -4.664 1.215 -1.167

18
Lattice="4.810 0.000 0.000 0.000 8.876 0.000 0.000 0.000 8.876" Properties=species:S:1:pos:R:3 comment="Zn4InAu4, relaxed, DFT PBE-GGA" spacegroup=I4/m energy_ev_per_cell=-43.82 delta_e_f_ev_per_fu=-0.97 pbc="T T T"
Zn 2.404 5.495 0.802
Zn 4.809 5.240 7.819
Zn 0.001 7.819 3.636
Zn 2.404 3.381 8.074
Zn 4.809 3.636 1.057
Zn 2.405 0.802 3.381
Zn 0.001 1.057 5.240
Zn 2.405 8.074 5.495
Au 2.405 1.879 5.900
Au 4.809 6.317 1.462
Au 2.404 2.976 1.879
Au 2.404 5.900 6.997
Au 4.809 2.559 7.415
Au 2.405 6.997 2.976
Au 0.000 7.415 6.317
Au 0.000 1.462 2.559
In 0.000 0.000 0.000
In 2.405 4.438 4.438

4
Lattice="8.807 0.052 0.031 8.128 3.392 0.031 8.128 1.653 2.962" Properties=species:S:1:pos:R:3 comment="ZnIn2Au, relaxed, DFT PBE-GGA" spacegroup=R-3m energy_ev_per_cell=-10.19 delta_e_f_ev_per_fu=-0.16 pbc="T T T"
In 12.516 2.545 1.510
In 0.015 0.003 0.002
Zn 6.266 1.274 0.756
Au 18.797 3.822 2.268

14
Lattice="4.895 0.078 0.002 0.597 4.859 0.002 -0.005 -0.004 11.069" Properties=species:S:1:pos:R:3 comment="ZnInAu5, relaxed, DFT PBE-GGA" spacegroup=Cmcm energy_ev_per_cell=-42.51 delta_e_f_ev_per_fu=-0.86 pbc="T T T"
Au 0.906 4.513 2.770
Au 4.581 0.420 8.304
Au 2.236 0.834 6.699
Au 1.069 2.137 1.165
Au 4.419 2.797 6.701
Au 3.251 4.098 4.374
Au 4.418 2.796 9.909
Au 3.253 4.100 1.166
Au 2.235 0.833 9.907
Au 1.068 2.136 4.373
Zn -0.002 -0.002 5.535
Zn 0.000 0.000 0.000
In 2.101 3.179 8.304
In 3.386 1.754 2.769

Copy entry 3 word for word.
4
Lattice="8.807 0.052 0.031 8.128 3.392 0.031 8.128 1.653 2.962" Properties=species:S:1:pos:R:3 comment="ZnIn2Au, relaxed, DFT PBE-GGA" spacegroup=R-3m energy_ev_per_cell=-10.19 delta_e_f_ev_per_fu=-0.16 pbc="T T T"
In 12.516 2.545 1.510
In 0.015 0.003 0.002
Zn 6.266 1.274 0.756
Au 18.797 3.822 2.268

Please write out number 2 again, unchanged.
18
Lattice="4.810 0.000 0.000 0.000 8.876 0.000 0.000 0.000 8.876" Properties=species:S:1:pos:R:3 comment="Zn4InAu4, relaxed, DFT PBE-GGA" spacegroup=I4/m energy_ev_per_cell=-43.82 delta_e_f_ev_per_fu=-0.97 pbc="T T T"
Zn 2.404 5.495 0.802
Zn 4.809 5.240 7.819
Zn 0.001 7.819 3.636
Zn 2.404 3.381 8.074
Zn 4.809 3.636 1.057
Zn 2.405 0.802 3.381
Zn 0.001 1.057 5.240
Zn 2.405 8.074 5.495
Au 2.405 1.879 5.900
Au 4.809 6.317 1.462
Au 2.404 2.976 1.879
Au 2.404 5.900 6.997
Au 4.809 2.559 7.415
Au 2.405 6.997 2.976
Au 0.000 7.415 6.317
Au 0.000 1.462 2.559
In 0.000 0.000 0.000
In 2.405 4.438 4.438